Here is Ca5C7 after structural relaxation from the Alexandria database. Energies are from PBE.

The formation energy comes out at 0.227 eV per atom.

It has space group I4mm (No. 107), with a = 7.586 Å, b = 7.586 Å, c = 6.659 Å, α = 90.00°, β = 90.00° and γ = 90.00°. The distinct sites, in fractional coordinates, are Ca at (0.000, 0.000, 0.000), Ca at (0.217, 0.217, 0.619), C at (0.000, 0.000, 0.425), C at (0.000, 0.324, 0.905) and C at (0.000, 0.500, 0.403).